The following is a DFT calculation (PBE) of a geometry-optimized TcP2O2 structure.

The total energy comes out at -0.4671 Ry/atom. As for the volume: 74.0 Å³/cell.

It has space group P4/mmm (No. 123), with a = 3.3272 Å, b = 3.3272 Å, c = 6.6811 Å, α = 90.00°, β = 90.00° and γ = 90.00°. The inequivalent atoms are Tc at (0.0000, 0.0000, 0.0000), P at (0.5000, 0.5000, 0.0000), P at (0.5000, 0.5000, 0.5000) and O at (0.0000, 0.5000, 0.5000).

***

The following is a DFT calculation (PBE) of a geometry-optimized SrTl2Mo structure.

The total energy comes out at -0.2695 Ry/atom. The calculation puts the formation energy at 14.9 kcal/mol of atoms. As for the volume: 208.0 Å³/cell.

It has space group Cmm2 (No. 35), with a = 4.1026 Å, b = 5.1161 Å, c = 9.9085 Å, α = 90.00°, β = 90.00° and γ = 90.00°. The inequivalent atoms are Sr at (0.0000, 0.0000, 0.0000), Tl at (0.0000, 0.0000, 0.4526), Tl at (0.0000, 0.5000, 0.7074) and Mo at (0.0000, 0.5000, 0.2459).

***

The following is a DFT calculation (PBE) of a geometry-optimized Nb3Cr structure.

The total energy comes out at -0.7137 Ry/atom. The calculation puts the formation energy at 5.7 kcal/mol of atoms. As for the volume: 136.5 Å³/cell.

It has space group I4/mmm (No. 139), with a = 3.7832 Å, b = 3.7832 Å, c = 9.5356 Å, α = 90.00°, β = 90.00° and γ = 90.00°. The inequivalent atoms are Nb at (0.0000, 0.0000, 0.0000), Nb at (0.0000, 0.5000, 0.2500) and Cr at (0.0000, 0.0000, 0.5000).

***

The following is a DFT calculation (PBE) of a geometry-optimized BePdSeO2 structure.

The total energy comes out at -0.3056 Ry/atom. As for the volume: 73.0 Å³/cell.

It has space group P4/mmm (No. 123), with a = 3.7818 Å, b = 3.7818 Å, c = 5.1030 Å, α = 90.00°, β = 90.00° and γ = 90.00°. The inequivalent atoms are Be at (0.0000, 0.0000, 0.0000), Pd at (0.0000, 0.0000, 0.5000), Se at (0.5000, 0.5000, 0.0000) and O at (0.0000, 0.5000, 0.5000).

***

Question: Which formula does entry 3 have?
Answer: Nb3Cr

***

Question: Among the records above, which one has the lowest volume?
Answer: BePdSeO2